[1]
The following is a DFT calculation (PBE) of crystalline TcNi2 at its relaxed geometry.

abc: 4.6590 4.6590 4.6590
angles: 60.00 60.00 60.00
Fractional coordinates of all 6 atoms:
Ni1 0.5000 0.0000 0.5000
Ni2 0.5000 0.0000 0.0000
Ni3 0.0000 0.0000 0.5000
Ni4 0.5000 0.5000 0.5000
Tc1 0.8750 0.3750 0.8750
Tc2 0.1250 0.6250 0.1250

Results
Its formation energy from the elements is 0.0437 eV per atom. The calculation puts the calculated total energy at -43.60 eV per cell.


[2]
The following is a DFT calculation (PBE) of crystalline Sm2Ga3Pd5 at its relaxed geometry.

abc: 5.8253 8.5998 8.5998
angles: 77.98 70.20 70.20
Fractional coordinates of all 20 atoms:
Sm1 0.1405 0.5824 0.1367
Sm2 0.6405 0.1367 0.5824
Sm3 0.8595 0.4176 0.8633
Sm4 0.3595 0.8633 0.4176
Ga1 0.3560 0.5414 0.7466
Ga2 0.8560 0.7466 0.5414
Ga3 0.6440 0.4586 0.2534
Ga4 0.1440 0.2534 0.4586
Ga5 0.2500 0.0000 0.0000
Ga6 0.7500 0.0000 0.0000
Pd1 0.4094 0.2664 0.9148
Pd2 0.9094 0.9148 0.2664
Pd3 0.5906 0.7336 0.0852
Pd4 0.0906 0.0852 0.7336
Pd5 0.4640 0.7860 0.7860
Pd6 0.5360 0.2140 0.2140
Pd7 0.7500 0.5000 0.5000
Pd8 0.2500 0.5000 0.5000
Pd9 0.0360 0.2140 0.2140
Pd10 0.9640 0.7860 0.7860

Results
Its formation energy from the elements is -0.7843 eV per atom. The calculation puts the calculated total energy at -104.65 eV per cell.


[3]
The following is a DFT calculation (PBE) of crystalline RbCaAc at its relaxed geometry.

abc: 4.0528 4.0614 21.6572
angles: 90.00 90.00 119.93
Fractional coordinates of all 6 atoms:
Ca1 0.6075 0.2150 0.0000
Ca2 0.2775 0.5550 0.5000
Ac1 0.6095 0.2189 0.3553
Ac2 0.6095 0.2189 0.6447
Rb1 0.2813 0.5627 0.8236
Rb2 0.2813 0.5627 0.1764

Results
Its formation energy from the elements is 0.2011 eV per atom. The calculation puts the calculated total energy at -12.95 eV per cell.


[4]
The following is a DFT calculation (PBE) of crystalline Er3Sc7Tc4 at its relaxed geometry.

abc: 3.6008 9.1470 10.1594
angles: 70.80 79.79 78.65
Fractional coordinates of all 14 atoms:
Er1 0.3008 0.2011 0.1973
Er2 0.6992 0.7989 0.8027
Er3 0.0000 0.5000 0.5000
Sc1 0.3214 0.8453 0.5120
Sc2 0.4952 0.2525 0.7571
Sc3 0.8360 0.4145 0.9135
Sc4 0.6786 0.1547 0.4880
Sc5 0.1640 0.5855 0.0865
Sc6 0.0000 0.0000 0.0000
Sc7 0.5048 0.7475 0.2429
Tc1 0.6445 0.4308 0.2802
Tc2 0.3555 0.5692 0.7198
Tc3 0.8807 0.9463 0.2923
Tc4 0.1193 0.0537 0.7077

Results
Its formation energy from the elements is -0.0951 eV per atom. The calculation puts the calculated total energy at -100.80 eV per cell.


[5]
The following is a DFT calculation (PBE) of crystalline Ce4OsRh2 at its relaxed geometry.

abc: 7.4953 7.4948 7.4947
angles: 109.65 109.65 109.12
Fractional coordinates of all 14 atoms:
Ce1 0.9932 0.2430 0.3637
Ce2 0.3706 0.5069 0.2500
Ce3 0.8794 0.6294 0.6362
Ce4 0.7570 0.1206 0.7501
Ce5 0.3707 0.0070 0.2501
Ce6 0.2569 0.1206 0.7500
Ce7 0.4929 0.7431 0.8636
Ce8 0.8793 0.6294 0.1362
Os1 0.2500 0.7500 0.4999
Os2 0.0001 0.0000 0.0000
Rh1 0.5054 0.3751 0.6304
Rh2 0.7445 0.8750 0.3696
Rh3 0.6250 0.2553 0.1303
Rh4 0.1250 0.4948 0.8698

Results
Its formation energy from the elements is -0.5053 eV per atom. The calculation puts the calculated total energy at -106.41 eV per cell.


[6]
The following is a DFT calculation (PBE) of crystalline Ce3SmO at its relaxed geometry.

abc: 4.9478 4.9478 4.9478
angles: 90.00 90.00 90.00
Fractional coordinates of all 5 atoms:
O1 0.0000 0.0000 0.0000
Ce1 0.0000 0.5000 0.0000
Ce2 0.0000 0.0000 0.5000
Ce3 0.5000 0.0000 0.0000
Sm1 0.5000 0.5000 0.5000

Results
The calculation puts the calculated total energy at -32.82 eV per cell. Its formation energy without anion corrections is -103.0 kJ/mol of atoms.


[7]
The following is a DFT calculation (PBE) of crystalline BaSrF4 at its relaxed geometry.

abc: 6.0792 6.0792 7.4197
angles: 114.18 114.18 90.00
Fractional coordinates of all 12 atoms:
Ba1 0.2500 0.7500 0.5000
Ba2 0.5000 0.5000 0.0000
Sr1 0.0000 0.0000 0.0000
Sr2 0.7500 0.2500 0.5000
F1 0.1087 0.1250 0.7500
F2 0.8750 0.8913 0.2500
F3 0.1087 0.6250 0.7500
F4 0.3750 0.3587 0.2500
F5 0.6413 0.1250 0.7500
F6 0.6413 0.6250 0.7500
F7 0.3750 0.8913 0.2500
F8 0.8750 0.3587 0.2500

Results
The calculation puts the calculated total energy at -69.00 eV per cell. Its formation energy without anion corrections is -376.5 kJ/mol of atoms.


[8]
The following is a DFT calculation (PBE) of crystalline Ni3Mo at its relaxed geometry.

abc: 3.6086 3.6086 7.8041
angles: 103.37 103.37 90.00
Fractional coordinates of all 8 atoms:
Mo1 0.3727 0.3727 0.7454
Mo2 0.6273 0.6273 0.2546
Ni1 0.0000 0.5000 0.0000
Ni2 0.1202 0.1202 0.2404
Ni3 0.8798 0.8798 0.7596
Ni4 0.2500 0.7500 0.5000
Ni5 0.7500 0.2500 0.5000
Ni6 0.5000 0.0000 0.0000

Results
Its formation energy from the elements is 0.0060 eV per atom. The calculation puts the calculated total energy at -56.30 eV per cell.


[9]
The following is a DFT calculation (PBE) of crystalline ErPaZnNi at its relaxed geometry.

abc: 4.8740 4.8740 4.8740
angles: 60.00 60.00 60.00
Fractional coordinates of all 4 atoms:
Ni1 0.7500 0.7500 0.7500
Zn1 0.2500 0.2500 0.2500
Pa1 0.0000 0.0000 0.0000
Er1 0.5000 0.5000 0.5000

Results
Its formation energy from the elements is -0.0976 eV per atom. The calculation puts the calculated total energy at -21.50 eV per cell.


[10]
The following is a DFT calculation (PBE) of crystalline AcCd5Cu2 at its relaxed geometry.

abc: 4.3428 6.8932 6.8932
angles: 71.58 71.64 71.64
Fractional coordinates of all 8 atoms:
Ac1 0.0000 0.0000 0.0000
Cd1 0.0000 0.5000 0.5000
Cd2 0.6537 0.5350 0.1576
Cd3 0.3463 0.4650 0.8424
Cd4 0.3463 0.8424 0.4650
Cd5 0.6537 0.1576 0.5350
Cu1 0.7400 0.7600 0.7600
Cu2 0.2600 0.2400 0.2400

Results
Its formation energy from the elements is -0.1618 eV per atom. The calculation puts the calculated total energy at -18.17 eV per cell.


[11]
The following is a DFT calculation (PBE) of crystalline Sr2Li at its relaxed geometry.

abc: 4.1257 8.1381 8.4229
angles: 90.00 90.00 90.00
Fractional coordinates of all 6 atoms:
Sr1 0.0000 0.2070 0.6621
Sr2 0.0000 0.7930 0.3379
Sr3 0.5000 0.7070 0.8379
Sr4 0.5000 0.2930 0.1621
Li1 0.0000 0.0000 0.0000
Li2 0.5000 0.5000 0.5000

Results
Its formation energy from the elements is 0.1718 eV per atom. The calculation puts the calculated total energy at -9.52 eV per cell.


[12]
The following is a DFT calculation (PBE) of crystalline MgCdCoOs2 at its relaxed geometry.

abc: 4.6030 4.3051 4.6030
angles: 90.00 90.00 90.00
Fractional coordinates of all 5 atoms:
Co1 0.0000 0.5000 0.0000
Mg1 0.0000 0.0000 0.0000
Os1 0.0000 0.0000 0.5000
Os2 0.5000 0.0000 0.0000
Cd1 0.5000 0.5000 0.5000

Results
Its formation energy from the elements is 1.9142 eV per atom. The calculation puts the calculated total energy at -22.50 eV per cell.


[13]
The following is a DFT calculation (PBE) of crystalline ZrBeHg2 at its relaxed geometry.

abc: 5.6930 5.6930 5.6930
angles: 146.27 131.68 60.22
Fractional coordinates of all 4 atoms:
Be1 0.7500 0.2500 0.5000
Hg1 0.9533 0.9533 0.0000
Hg2 0.5467 0.5467 0.0000
Zr1 0.2500 0.7500 0.5000

Results
Its formation energy from the elements is 0.1661 eV per atom. The calculation puts the calculated total energy at -12.21 eV per cell.


[14]
The following is a DFT calculation (PBE) of crystalline MoOsAu2 at its relaxed geometry.

abc: 5.0176 5.0176 2.8650
angles: 90.00 90.00 115.22
Fractional coordinates of all 4 atoms:
Au1 0.0000 0.0000 0.0000
Au2 0.5000 0.5000 0.0000
Mo1 0.5000 0.0000 0.5000
Os1 0.0000 0.5000 0.5000

Results
Its formation energy from the elements is 0.5500 eV per atom. The calculation puts the calculated total energy at -26.42 eV per cell.


[15]
The following is a DFT calculation (PBE) of crystalline LiTa2MoI at its relaxed geometry.

abc: 4.6116 4.2936 4.6116
angles: 90.00 90.00 90.00
Fractional coordinates of all 5 atoms:
I1 0.5000 0.5000 0.5000
Mo1 0.0000 0.5000 0.0000
Li1 0.0000 0.0000 0.0000
Ta1 0.0000 0.0000 0.5000
Ta2 0.5000 0.0000 0.0000

Results
The calculation puts the calculated total energy at -30.21 eV per cell. Its formation energy without anion corrections is 150.4 kJ/mol of atoms.


[16]
The following is a DFT calculation (PBE) of crystalline Li4TmPa3Se8 at its relaxed geometry.

abc: 7.9805 8.1130 7.9803
angles: 119.47 120.00 90.00
Fractional coordinates of all 16 atoms:
Li1 0.5000 0.0000 0.0000
Li2 0.5000 0.0000 0.5000
Li3 0.0000 0.0000 0.0000
Li4 0.0000 0.0000 0.5000
Tm1 0.0000 0.5000 0.0000
Pa1 0.5000 0.5000 0.0000
Pa2 0.5000 0.5000 0.5000
Pa3 0.0000 0.5000 0.5000
Se1 0.2505 0.7596 0.0093
Se2 0.2505 0.7596 0.5010
Se3 0.2442 0.2326 0.4883
Se4 0.7588 0.7596 0.0093
Se5 0.2412 0.2404 0.9907
Se6 0.7558 0.7674 0.5117
Se7 0.7495 0.2404 0.4990
Se8 0.7495 0.2404 0.9907

Results
The calculation puts the calculated total energy at -90.25 eV per cell. Its formation energy without anion corrections is -131.2 kJ/mol of atoms.


[17]
The following is a DFT calculation (PBE) of crystalline NbHSeBr2 at its relaxed geometry.

abc: 5.1571 5.1571 3.4987
angles: 90.00 90.00 90.00
Fractional coordinates of all 5 atoms:
H1 0.0000 0.0000 0.0000
Nb1 0.5000 0.5000 0.5000
Se1 0.0000 0.0000 0.5000
Br1 0.0000 0.5000 0.0000
Br2 0.5000 0.0000 0.0000

Results
The calculation puts the calculated total energy at -17.22 eV per cell.


[18]
The following is a DFT calculation (PBE) of crystalline TiCu2H2 at its relaxed geometry.

abc: 5.0430 5.0430 3.8253
angles: 90.00 90.00 90.00
Fractional coordinates of all 10 atoms:
H1 0.1640 0.6640 0.0000
H2 0.6640 0.8360 0.0000
H3 0.8360 0.3360 0.0000
H4 0.3360 0.1640 0.0000
Cu1 0.1734 0.6734 0.5000
Cu2 0.6734 0.8266 0.5000
Cu3 0.8266 0.3266 0.5000
Cu4 0.3266 0.1734 0.5000
Ti1 0.0000 0.0000 0.0000
Ti2 0.5000 0.5000 0.0000

Results
The calculation puts the calculated total energy at -46.09 eV per cell.


[19]
The following is a DFT calculation (PBE) of crystalline RbBaRhF6 at its relaxed geometry.

abc: 6.1970 6.1970 5.3310
angles: 90.00 90.00 59.94
Fractional coordinates of all 9 atoms:
Rb1 0.6664 0.6665 0.4999
Ba1 0.9999 0.0000 0.9999
Rh1 0.3333 0.3334 0.5000
F1 0.0796 0.3115 0.2764
F2 0.3116 0.0796 0.7236
F3 0.6085 0.3122 0.7238
F4 0.0787 0.6097 0.7228
F5 0.3120 0.6086 0.2762
F6 0.6097 0.0788 0.2772

Results
The calculation puts the calculated total energy at -44.69 eV per cell. Its formation energy without anion corrections is -249.0 kJ/mol of atoms.


[20]
The following is a DFT calculation (PBE) of crystalline GdErTmSc at its relaxed geometry.

abc: 5.5006 5.5006 5.5006
angles: 60.00 60.00 60.00
Fractional coordinates of all 4 atoms:
Gd1 0.2500 0.2500 0.2500
Sc1 0.0000 0.0000 0.0000
Tm1 0.5000 0.5000 0.5000
Er1 0.7500 0.7500 0.7500

Results
Its formation energy from the elements is 0.1092 eV per atom. The calculation puts the calculated total energy at -29.01 eV per cell.